1.
VASP calculation (PBE) on crystalline LiCoReAu at its relaxed geometry.

a b c (Å): 4.1821 4.1821 4.1821
angles (deg): 60.00 60.00 60.00
With the nearest neighbours (Å) after each atom.
Fractional positions:
1 Au 0.7500 0.7500 0.7500  4 Li 2.56, 4 Co 2.56
2 Re 0.2500 0.2500 0.2500  4 Co 2.56, 4 Li 2.56
3 Co 0.0000 0.0000 0.0000  4 Re 2.56, 4 Au 2.56
4 Li 0.5000 0.5000 0.5000  4 Au 2.56, 4 Re 2.56

## Properties
Total DFT energy (no corrections) ... -5.90 eV per atom
SG ... F-43m, No. 216
Calculated volume ... 12.93 A^3/atom
Energy above the most stable polymorph in this dataset ... 0 meV/atom

2.
VASP calculation (PBE) on crystalline Ba2MgFeS6 at its relaxed geometry.

a b c (Å): 6.8064 6.8064 6.8064
angles (deg): 120.00 120.00 60.00
With the nearest neighbours (Å) after each atom.
Fractional positions:
1 S 0.7608 0.7608 0.7608  1 Fe 2.30, 1 Mg 2.51
2 S 0.7608 0.2392 0.2392  1 Fe 2.30, 1 Mg 2.51
3 S 0.2392 0.7608 0.7608  1 Fe 2.30, 1 Mg 2.51
4 S 0.7608 0.2392 0.7608  1 Fe 2.30, 1 Mg 2.51
5 S 0.2392 0.7608 0.2392  1 Fe 2.30, 1 Mg 2.51
6 S 0.2392 0.2392 0.2392  1 Fe 2.30, 1 Mg 2.51
7 Mg 0.5000 0.5000 0.5000  6 S 2.51
8 Ba 0.2500 0.2500 0.7500  12 S 3.40
9 Ba 0.7500 0.7500 0.2500  12 S 3.40
10 Fe 0.0000 0.0000 0.0000  6 S 2.30

## Properties
Total DFT energy (no corrections) ... -4.86 eV per atom
SG ... Fm-3m, No. 225
Calculated volume ... 22.30 A^3/atom

3.
VASP calculation (PBE) on crystalline BiTePd at its relaxed geometry.

a b c (Å): 4.8215 4.8215 4.8215
angles (deg): 60.00 60.00 60.00
With the nearest neighbours (Å) after each atom.
Fractional positions:
1 Bi 0.2500 0.2500 0.2500  4 Pd 2.95
2 Pd 0.0000 0.0000 0.0000  4 Te 2.95, 4 Bi 2.95
3 Te 0.7500 0.7500 0.7500  4 Pd 2.95

## Properties
Total DFT energy (no corrections) ... -4.39 eV per atom
SG ... F-43m, No. 216
Calculated volume ... 26.42 A^3/atom
Energy above the most stable polymorph in this dataset ... 31 meV/atom

4.
VASP calculation (PBE) on crystalline Tm2CuAg3 at its relaxed geometry.

a b c (Å): 3.6408 3.6408 9.0903
angles (deg): 90.00 90.00 90.00
With the nearest neighbours (Å) after each atom.
Fractional positions:
1 Ag 0.5000 0.5000 0.6754  5 Tm 2.87-3.00, 4 Cu 2.95, 1 Ag 3.14
2 Ag 0.5000 0.5000 0.3297  5 Ag 2.98-3.14, 5 Tm 3.03-3.08
3 Ag 0.0000 0.0000 0.1638  4 Ag 2.98, 1 Cu 3.00, 5 Tm 3.01-3.11
4 Cu 0.0000 0.0000 0.8340  5 Tm 2.94-2.98, 5 Ag 2.95-3.00
5 Tm 0.5000 0.5000 0.9912  6 Ag 2.87-3.08, 4 Cu 2.94
6 Tm 0.0000 0.0000 0.5059  1 Cu 2.98, 9 Ag 3.00-3.11

## Properties
ΔE_f ... -0.2992 eV per atom
Total DFT energy (no corrections) ... -3.82 eV per atom
SG ... P4mm, No. 99
Calculated volume ... 20.08 A^3/atom

5.
VASP calculation (PBE) on crystalline GaIr9 at its relaxed geometry.

a b c (Å): 2.7380 3.8681 40.5494
angles (deg): 90.00 90.00 90.00
With the nearest neighbours (Å) after each atom.
Fractional positions:
1 Ir 0.5000 0.5000 0.6183  12 Ir 2.70-2.74
2 Ir 0.0000 0.0000 0.7889  4 Ga 2.63, 7 Ir 2.74-2.80
3 Ir 0.0000 0.0000 0.3150  12 Ir 2.70-2.76
4 Ir 0.0000 0.0000 0.5845  12 Ir 2.74
5 Ir 0.5000 0.5000 0.7527  1 Ga 2.62, 11 Ir 2.72-2.79
6 Ir 0.5000 0.5000 0.3480  12 Ir 2.72-2.75
7 Ir 0.5000 0.5000 0.5507  12 Ir 2.74-2.75
8 Ir 0.0000 0.0000 0.5170  12 Ir 2.74-2.75
9 Ir 0.5000 0.5000 0.2111  4 Ga 2.63, 7 Ir 2.74-2.80
10 Ir 0.0000 0.0000 0.7198  12 Ir 2.72-2.80
11 Ir 0.0000 0.0000 0.3817  12 Ir 2.70-2.74
12 Ir 0.5000 0.5000 0.4830  12 Ir 2.74-2.75
13 Ir 0.5000 0.5000 0.4155  12 Ir 2.74
14 Ir 0.0000 0.0000 0.4493  12 Ir 2.74-2.75
15 Ir 0.0000 0.0000 0.2473  1 Ga 2.62, 11 Ir 2.72-2.79
16 Ir 0.0000 0.0000 0.6520  12 Ir 2.72-2.75
17 Ir 0.5000 0.5000 0.2802  12 Ir 2.72-2.80
18 Ir 0.5000 0.5000 0.6850  12 Ir 2.70-2.76
19 Ga 0.5000 0.5000 0.8173  5 Ir 2.62-2.63, 2 Ga 2.74
20 Ga 0.0000 0.0000 0.1827  5 Ir 2.62-2.63, 2 Ga 2.74

## Properties
Total DFT energy (no corrections) ... -8.25 eV per atom
SG ... Pmmn, No. 59
Calculated volume ... 21.47 A^3/atom
Energy above the most stable polymorph in this dataset ... 4 meV/atom

6.
VASP calculation (PBE) on crystalline Li3Gd3SiGe2 at its relaxed geometry.

a b c (Å): 7.0931 7.0931 4.2783
angles (deg): 90.00 90.00 120.00
With the nearest neighbours (Å) after each atom.
Fractional positions:
1 Gd 0.5761 0.0000 0.0000  1 Si 3.01, 4 Ge 3.01, 2 Li 3.25
2 Gd 0.4239 0.4239 0.0000  1 Si 3.01, 4 Ge 3.01, 2 Li 3.25
3 Gd 0.0000 0.5761 0.0000  1 Si 3.01, 4 Ge 3.01, 2 Li 3.25
4 Li 0.2312 0.0000 0.5000  2 Si 2.70, 2 Ge 2.80, 2 Li 2.84
5 Li 0.0000 0.2312 0.5000  2 Si 2.70, 2 Ge 2.80, 2 Li 2.84
6 Li 0.7688 0.7688 0.5000  2 Si 2.70, 2 Ge 2.80, 2 Li 2.84
7 Ge 0.6667 0.3333 0.5000  3 Li 2.80, 6 Gd 3.01
8 Ge 0.3333 0.6667 0.5000  3 Li 2.80, 6 Gd 3.01
9 Si 0.0000 0.0000 0.0000  6 Li 2.70, 3 Gd 3.01

## Properties
Total DFT energy (no corrections) ... -4.49 eV per atom
SG ... P-62m, No. 189
Calculated volume ... 20.71 A^3/atom

7.
VASP calculation (PBE) on crystalline In4CuPt at its relaxed geometry.

a b c (Å): 4.5560 4.5560 6.4073
angles (deg): 90.00 90.00 90.00
With the nearest neighbours (Å) after each atom.
Fractional positions:
1 In 0.0000 0.5000 0.7540  2 Cu 2.77, 2 Pt 2.80
2 In 0.0000 0.5000 0.2460  2 Cu 2.77, 2 Pt 2.80
3 In 0.5000 0.0000 0.2460  2 Cu 2.77, 2 Pt 2.80
4 In 0.5000 0.0000 0.7540  2 Cu 2.77, 2 Pt 2.80
5 Cu 0.0000 0.0000 0.0000  8 In 2.77
6 Pt 0.5000 0.5000 0.5000  8 In 2.80

## Properties
Total DFT energy (no corrections) ... -3.70 eV per atom
SG ... P4/mmm, No. 123
Calculated volume ... 22.17 A^3/atom

8.
VASP calculation (PBE) on crystalline YHoTl at its relaxed geometry.

a b c (Å): 6.7497 5.0666 9.9866
angles (deg): 90.00 90.00 90.00
With the nearest neighbours (Å) after each atom.
Fractional positions:
1 Ho 0.9513 0.2500 0.7088  5 Tl 3.19-3.49, 2 Y 3.47, 2 Ho 3.47
2 Ho 0.0487 0.7500 0.2912  5 Tl 3.19-3.49, 2 Y 3.47, 2 Ho 3.47
3 Ho 0.5487 0.7500 0.2088  5 Tl 3.19-3.49, 2 Y 3.47, 2 Ho 3.47
4 Ho 0.4513 0.2500 0.7912  5 Tl 3.19-3.49, 2 Y 3.47, 2 Ho 3.47
5 Y 0.6740 0.7500 0.5621  4 Tl 3.20-3.22, 2 Ho 3.47
6 Y 0.3260 0.2500 0.4379  4 Tl 3.20-3.22, 2 Ho 3.47
7 Y 0.8260 0.2500 0.0621  4 Tl 3.20-3.22, 2 Ho 3.47
8 Y 0.1740 0.7500 0.9379  4 Tl 3.20-3.22, 2 Ho 3.47
9 Tl 0.2955 0.2500 0.1181  5 Ho 3.19-3.49, 4 Y 3.20-3.22
10 Tl 0.7955 0.2500 0.3819  5 Ho 3.19-3.49, 4 Y 3.20-3.22
11 Tl 0.2045 0.7500 0.6181  5 Ho 3.19-3.49, 4 Y 3.20-3.22
12 Tl 0.7045 0.7500 0.8819  5 Ho 3.19-3.49, 4 Y 3.20-3.22

## Properties
Total DFT energy (no corrections) ... -4.75 eV per atom
SG ... Pnma, No. 62
Calculated volume ... 28.46 A^3/atom
Energy above the most stable polymorph in this dataset ... 1 meV/atom

9.
VASP calculation (PBE) on crystalline Pr2NdCd3InGa2 at its relaxed geometry.

a b c (Å): 4.6121 7.5237 7.5237
angles (deg): 119.93 90.00 90.00
With the nearest neighbours (Å) after each atom.
Fractional positions:
1 In 0.0000 0.9990 0.9990  6 Cd 2.99-3.00, 1 Nd 3.26, 2 Pr 3.27
2 Nd 0.0000 0.5663 0.5663  4 Ga 3.20, 1 In 3.26, 2 Cd 3.29
3 Ga 0.5000 0.3342 0.6662  3 Cd 2.85-2.87
4 Ga 0.5000 0.6662 0.3342  3 Cd 2.85-2.87
5 Pr 0.0000 0.4339 0.0003  4 Ga 3.21, 1 In 3.27, 2 Cd 3.30
6 Pr 0.0000 0.0003 0.4339  4 Ga 3.21, 1 In 3.27, 2 Cd 3.30
7 Cd 0.5000 0.9997 0.7466  2 Ga 2.86-2.87, 2 In 2.99
8 Cd 0.5000 0.7466 0.9997  2 Ga 2.86-2.87, 2 In 2.99
9 Cd 0.5000 0.2538 0.2538  2 Ga 2.85, 2 In 3.00

## Properties
Total DFT energy (no corrections) ... -3.37 eV per atom
SG ... Amm2, No. 38
Calculated volume ... 25.14 A^3/atom

10.
VASP calculation (PBE) on crystalline CsAgWSeS2 at its relaxed geometry.

a b c (Å): 8.2397 8.2397 10.1203
angles (deg): 90.00 90.00 152.97
With the nearest neighbours (Å) after each atom.
Fractional positions:
1 Se 0.4339 0.5661 0.7500  2 Ag 2.64, 2 W 2.74
2 Se 0.5661 0.4339 0.2500  2 Ag 2.64, 2 W 2.74
3 S 0.8996 0.1004 0.4744  1 Ag 2.43, 2 W 2.52
4 S 0.1004 0.8996 0.9744  1 Ag 2.43, 2 W 2.52
5 S 0.1004 0.8996 0.5256  1 Ag 2.43, 2 W 2.52
6 S 0.8996 0.1004 0.0256  1 Ag 2.43, 2 W 2.52
7 Ag 0.9536 0.0464 0.2500  2 S 2.43, 2 Se 2.64
8 Ag 0.0464 0.9536 0.7500  2 S 2.43, 2 Se 2.64
9 W 0.5000 0.5000 0.5000  4 S 2.52, 2 Se 2.74
10 W 0.5000 0.5000 0.0000  4 S 2.52, 2 Se 2.74
11 Cs 0.2562 0.7438 0.2500  2 Se 3.60, 2 Ag 3.70, 6 S 3.74-3.76, 2 Cs 3.85
12 Cs 0.7438 0.2562 0.7500  2 Se 3.60, 2 Ag 3.70, 6 S 3.74-3.76, 2 Cs 3.85

## Properties
Total DFT energy (no corrections) ... -5.06 eV per atom
SG ... Cmcm, No. 63
Calculated volume ... 26.02 A^3/atom